{"formula": "TbPm2DyEr4", "functional": "PBE-GGA", "state": "optimized geometry", "lattice": [[6.784, -6.620, 0.000], [6.784, 6.620, 0.000], [-3.396, 0.000, 5.878]], "species": ["Tb", "Tb", "Pm", "Pm", "Pm", "Pm", "Dy", "Dy", "Er", "Er", "Er", "Er", "Er", "Er", "Er", "Er"], "frac_coords": [[0.000, 0.500, 0.000], [0.500, 0.000, 0.500], [0.000, 0.000, 0.000], [0.000, 0.000, 0.500], [0.000, 0.500, 0.500], [0.500, 0.000, 0.000], [0.500, 0.500, 0.000], [0.500, 0.500, 0.500], [0.252, 0.253, 0.003], [0.252, 0.747, 0.001], [0.253, 0.252, 0.503], [0.253, 0.748, 0.499], [0.747, 0.252, 0.501], [0.747, 0.748, 0.497], [0.748, 0.253, 0.999], [0.748, 0.747, 0.997]], "sg": "C2/c (15)", "vol_a3_per_cell": 528, "formation_energy_ev_per_atom": 0.4334, "final_energy_ev_per_cell": -67.04, "magmom_total_mub_per_fu": 3.181, "dos_at_fermi_per_ev_atom": 2.152, "crystal_system": "monoclinic"}

---

{"formula": "SrIr2", "functional": "PBE-GGA", "state": "optimized geometry", "lattice": [[-3.326, 3.326, 3.072], [3.326, -3.326, 3.072], [3.326, 3.326, -3.072]], "species": ["Sr", "Sr", "Ir", "Ir", "Ir", "Ir"], "frac_coords": [[0.250, 0.250, 0.000], [0.750, 0.750, 0.000], [0.126, 0.626, 0.753], [0.374, 0.126, 0.500], [0.626, 0.874, 0.500], [0.874, 0.374, 0.247]], "sg": "I4/mcm (140)", "vol_a3_per_cell": 136, "formation_energy_ev_per_atom": 1.2588, "final_energy_ev_per_cell": -31.25, "magmom_total_mub_per_fu": 0.848, "dos_at_fermi_per_ev_atom": 1.904, "crystal_system": "tetragonal"}

---

{"formula": "Y2SiS6", "functional": "PBE-GGA", "state": "optimized geometry", "lattice": [[6.004, 0.000, 0.000], [0.000, 6.004, 0.000], [0.000, 0.000, 11.771]], "species": ["Y", "Y", "Y", "Y", "Si", "Si", "S", "S", "S", "S", "S", "S", "S", "S", "S", "S", "S", "S"], "frac_coords": [[0.000, 0.000, 0.167], [0.000, 0.000, 0.833], [0.500, 0.500, 0.333], [0.500, 0.500, 0.667], [0.000, 0.000, 0.500], [0.500, 0.500, 0.000], [0.183, 0.183, 0.358], [0.183, 0.183, 0.642], [0.228, 0.228, 0.000], [0.272, 0.728, 0.500], [0.317, 0.683, 0.142], [0.317, 0.683, 0.858], [0.683, 0.317, 0.142], [0.683, 0.317, 0.858], [0.728, 0.272, 0.500], [0.772, 0.772, 0.000], [0.817, 0.817, 0.358], [0.817, 0.817, 0.642]], "sg": "P4_2/mnm (136)", "vol_a3_per_cell": 424, "e_form_raw_ev_per_atom": -0.991, "final_energy_ev_per_cell": -104.07, "magmom_total_mub_per_fu": 0.000, "dos_at_fermi_per_ev_atom": 0.680, "crystal_system": "tetragonal"}

---

{"formula": "Cs2RbCa2Br7", "functional": "PBE-GGA", "state": "optimized geometry", "lattice": [[-2.871, 2.871, 14.765], [2.871, -2.871, 14.765], [2.871, 2.871, -14.765]], "species": ["Cs", "Cs", "Rb", "Ca", "Ca", "Br", "Br", "Br", "Br", "Br", "Br", "Br"], "frac_coords": [[0.182, 0.182, 0.000], [0.818, 0.818, 0.000], [0.000, 0.000, 0.000], [0.402, 0.402, 0.000], [0.598, 0.598, 0.000], [0.093, 0.593, 0.500], [0.305, 0.305, 0.000], [0.407, 0.907, 0.500], [0.500, 0.500, 0.000], [0.593, 0.093, 0.500], [0.695, 0.695, 0.000], [0.907, 0.407, 0.500]], "sg": "I4/mmm (139)", "vol_a3_per_cell": 487, "e_form_raw_ev_per_atom": -1.928, "final_energy_ev_per_cell": -41.53, "magmom_total_mub_per_fu": 0.000, "dos_at_fermi_per_ev_atom": 0.000, "crystal_system": "tetragonal"}